The following is a SCAN calculation of NbCr3Ir at its PBEsol-relaxed geometry, from the Alexandria database.

Cell: 4.3113 4.3113 4.3113 Å, 90.00 90.00 90.00°
Last column: nearest neighbours and their distance in Å.
Fractional coordinates of all 5 atoms:
Nb 0.0000 0.0000 0.0000  6 Cr 2.16
Cr 0.0000 0.0000 0.5000  2 Nb 2.16
Cr 0.0000 0.5000 0.0000  2 Nb 2.16
Cr 0.5000 0.0000 0.0000  2 Nb 2.16
Ir 0.5000 0.5000 0.5000  12 Cr 3.05

DFT formation energy: 10.75 eV/f.u.
calculated total energy: -2.1849 Ry/atom
D(E_F): 7.66 states/eV/f.u.